#one
DFT (PBE-GGA) results for a relaxed structure of MoSe3SBr.

Geometry as CIF:
```
data_MoSe3SBr
_cell_length_a 6.348
_cell_length_b 8.014
_cell_length_c 8.189
_cell_angle_alpha 118.55
_cell_angle_beta 104.72
_cell_angle_gamma 97.79
_symmetry_space_group_name_H-M 'P -1'
_symmetry_Int_Tables_number 2
loop_
_symmetry_equiv_pos_as_xyz
'x,y,z'
'-x,-y,-z'
loop_
_atom_site_label
_atom_site_fract_x
_atom_site_fract_y
_atom_site_fract_z
Mo1 0.223 0.000 0.000
Se1 0.021 0.841 0.147
Se2 0.127 0.312 0.226
Se3 0.393 0.919 0.712
S1 0.467 0.782 0.014
Br1 0.260 0.370 0.595
```

Calculated values
- Magnetization: 0.00 μB per formula unit


#two
DFT (PBE-GGA) results for a relaxed structure of MoSe3SBr.

Geometry as CIF:
```
data_MoSe3SBr
_cell_length_a 6.364
_cell_length_b 8.107
_cell_length_c 8.187
_cell_angle_alpha 118.72
_cell_angle_beta 97.79
_cell_angle_gamma 104.81
_symmetry_space_group_name_H-M 'P -1'
_symmetry_Int_Tables_number 2
loop_
_symmetry_equiv_pos_as_xyz
'x,y,z'
'-x,-y,-z'
loop_
_atom_site_label
_atom_site_fract_x
_atom_site_fract_y
_atom_site_fract_z
Mo1 0.220 0.000 0.000
Se1 0.127 0.225 0.308
Se2 0.391 0.708 0.916
Se3 0.461 0.009 0.763
S1 0.019 0.134 0.852
Br1 0.263 0.603 0.375
```

Calculated values
- Magnetization: 0.00 μB per formula unit


#three
DFT (PBE-GGA) results for a relaxed structure of MoSe3SBr.

Geometry as CIF:
```
data_MoSe3SBr
_cell_length_a 6.409
_cell_length_b 7.974
_cell_length_c 8.106
_cell_angle_alpha 111.71
_cell_angle_beta 98.20
_cell_angle_gamma 113.68
_symmetry_space_group_name_H-M 'P -1'
_symmetry_Int_Tables_number 2
loop_
_symmetry_equiv_pos_as_xyz
'x,y,z'
'-x,-y,-z'
loop_
_atom_site_label
_atom_site_fract_x
_atom_site_fract_y
_atom_site_fract_z
Mo1 0.221 0.000 0.001
Se1 0.124 0.142 0.300
Se2 0.315 0.701 0.808
Se3 0.454 0.996 0.756
S1 0.089 0.209 0.909
Br1 0.347 0.607 0.244
```

Calculated values
- Magnetization: 0.00 μB per formula unit


What is the least stable structure shown above? It is #three.